# GGA-PBE Tb2Tm3PuTe6, relaxed
# - E_form (uncorrected) (eV per atom) = -1.224
# - Fermi-level density of states (states/eV per cell) = 23.1
data_Tb2Tm3PuTe6
_cell_length_a 18.974
_cell_length_b 4.320
_cell_length_c 8.734
_cell_angle_alpha 90.00
_cell_angle_beta 103.67
_cell_angle_gamma 90.00
_symmetry_space_group_name_H-M 'C 1 2/m 1'
_symmetry_Int_Tables_number 12
loop_
_symmetry_equiv_pos_as_xyz
'x,y,z'
'-x,-y,-z'
'-x,y,-z'
'x,-y,z'
'x+1/2,y+1/2,z'
'-x+1/2,-y+1/2,-z'
'-x+1/2,y+1/2,-z'
'x+1/2,-y+1/2,z'
loop_
_atom_site_label
_atom_site_type_symbol
_atom_site_fract_x
_atom_site_fract_y
_atom_site_fract_z
Tb1 Tb 0.164 0.000 0.330
Tm1 Tm 0.000 0.500 0.500
Tm2 Tm 0.165 0.000 0.835
Pu1 Pu 0.000 0.500 0.000
Te1 Te 0.002 0.000 0.744
Te2 Te 0.166 0.500 0.587
Te3 Te 0.170 0.500 0.081


# GGA-PBE Tb3Tm2PuTe6, relaxed
# - E_form (uncorrected) (eV per atom) = -1.246
# - Fermi-level density of states (states/eV per cell) = 21.8
data_Tb3Tm2PuTe6
_cell_length_a 19.034
_cell_length_b 4.332
_cell_length_c 8.755
_cell_angle_alpha 90.00
_cell_angle_beta 103.57
_cell_angle_gamma 90.00
_symmetry_space_group_name_H-M 'C 1 2/m 1'
_symmetry_Int_Tables_number 12
loop_
_symmetry_equiv_pos_as_xyz
'x,y,z'
'-x,-y,-z'
'-x,y,-z'
'x,-y,z'
'x+1/2,y+1/2,z'
'-x+1/2,-y+1/2,-z'
'-x+1/2,y+1/2,-z'
'x+1/2,-y+1/2,z'
loop_
_atom_site_label
_atom_site_type_symbol
_atom_site_fract_x
_atom_site_fract_y
_atom_site_fract_z
Tb1 Tb 0.000 0.000 0.000
Tb2 Tb 0.164 0.500 0.334
Tm1 Tm 0.162 0.500 0.827
Pu1 Pu 0.000 0.000 0.500
Te1 Te 0.001 0.500 0.753
Te2 Te 0.169 0.000 0.588
Te3 Te 0.170 0.000 0.079